VASP calculation (PBE-GGA) on crystalline Pr2SmTh3Bi6 at its relaxed geometry.

Summary:
Calculated volume in Å³ per cell: 414
Energy in eV per atom: -5.751
Crystal system: monoclinic

Cell lengths 4.608, 9.200, 10.304 Å; angles 102.91, 102.92, 90.00 degrees
Fractional positions:
Pr1 0.834 0.667 0.667
Pr2 0.166 0.333 0.333
Sm1 0.500 0.000 0.000
Th1 0.500 0.500 0.000
Th2 0.832 0.167 0.665
Th3 0.168 0.833 0.335
Bi1 0.335 0.919 0.669
Bi2 0.666 0.584 0.332
Bi3 0.665 0.081 0.331
Bi4 0.999 0.248 0.998
Bi5 0.001 0.752 0.002
Bi6 0.334 0.416 0.668